(1)
PrCuH6Ru | PBE | relaxed

Structure (POSCAR):
```
PrCuH6Ru
1.0
4.672 0.000 0.000
2.336 4.046 0.000
0.000 0.000 4.367
H Pr Cu Ru
6 1 1 1
Direct
0.493 0.014 0.243
0.493 0.014 0.757
0.493 0.493 0.243
0.014 0.493 0.757
0.014 0.493 0.243
0.493 0.493 0.757
0.000 0.000 0.000
0.667 0.667 0.500
0.333 0.333 0.500
```

Calculated values
- Calculated volume: 9.2 A^3/atom
- Energy: -4.52 eV per atom
- Space group: P-6m2 (187)
- Mass density: 6.3 g/cm³

(2)
CdTcOs2 | PBE | relaxed

Structure (POSCAR):
```
CdTcOs2
1.0
2.802 0.000 0.000
0.000 2.802 0.000
0.000 0.000 8.016
Os Cd Tc
2 1 1
Direct
0.000 0.000 0.475
0.000 0.000 0.025
0.500 0.500 0.750
0.500 0.500 0.250
```

Calculated values
- Calculated volume: 15.7 A^3/atom
- Energy: -8.09 eV per atom
- Space group: P4/mmm (123)
- Mass density: 15.6 g/cm³

> What is the calculated volume in the second record?

15.7 A^3/atom

> Look up the calculated volume of the second one.

15.7 A^3/atom